Record 1
A relaxed structure of Nd2AgGe, computed with PBE-GGA.

Results
- calculated total energy (eV per formula unit) = -18.659
- DOS(E_F) (states/eV/atom) = 1.027
- mass density (Mg/m³) = 6.55
- total moment (μB per atom) = 0.000

```
data_Nd2AgGe
_chemical_formula_sum 'Nd6 Ag3 Ge3'
_cell_length_a 4.3955
_cell_length_b 4.3955
_cell_length_c 21.3081
_cell_angle_alpha 90.00
_cell_angle_beta 90.00
_cell_angle_gamma 120.00
_space_group_name_H-M_alt 'R -3 m'
_space_group_IT_number 166
_space_group_name_Hall '-R 3 2"'
loop_
_atom_site_label
_atom_site_type_symbol
_atom_site_fract_x
_atom_site_fract_y
_atom_site_fract_z
Nd1 Nd 0.0000 0.0000 0.2413
Ag1 Ag 0.0000 0.0000 0.0000
Ge1 Ge 0.0000 0.0000 0.5000
```


Record 2
A relaxed structure of CdReO4F, computed with PBE-GGA.

Results
- calculated total energy (eV per formula unit) = -46.697
- DOS(E_F) (states/eV/atom) = 0.000
- mass density (Mg/m³) = 4.66
- total moment (μB per atom) = 0.008
- E_form (uncorrected) (eV/atom) = -1.661

```
data_CdReO4F
_chemical_formula_sum 'Cd4 Re4 O16 F4'
_cell_length_a 9.446
_cell_length_b 7.565
_cell_length_c 8.406
_cell_angle_alpha 90.00
_cell_angle_beta 115.02
_cell_angle_gamma 90.00
_space_group_name_H-M_alt 'C 1 2/m 1'
_space_group_IT_number 12
loop_
_space_group_symop_operation_xyz
'x,y,z'
'-x,-y,-z'
'-x,y,-z'
'x,-y,z'
'x+1/2,y+1/2,z'
'-x+1/2,-y+1/2,-z'
'-x+1/2,y+1/2,-z'
'x+1/2,-y+1/2,z'
loop_
_atom_site_label
_atom_site_type_symbol
_atom_site_fract_x
_atom_site_fract_y
_atom_site_fract_z
Cd1 Cd 0.173 0.000 0.174
Re1 Re 0.137 0.500 0.296
O1 O 0.060 0.500 0.737
O2 O 0.174 0.311 0.200
O3 O 0.242 0.000 0.478
F1 F 0.078 0.000 0.888
```


Record 3
A relaxed structure of AcZn2GaGe, computed with PBE-GGA.

Results
- calculated total energy (eV per formula unit) = -16.526
- DOS(E_F) (states/eV/atom) = 0.297
- mass density (Mg/m³) = 7.84
- total moment (μB per atom) = 0.000

```
data_AcZn2GaGe
_chemical_formula_sum 'Ac2 Zn4 Ga2 Ge2'
_cell_length_a 4.470
_cell_length_b 4.503
_cell_length_c 10.531
_cell_angle_alpha 90.00
_cell_angle_beta 90.00
_cell_angle_gamma 90.00
_space_group_name_H-M_alt 'I m m 2'
_space_group_IT_number 44
loop_
_space_group_symop_operation_xyz
'x,y,z'
'-x,-y,z'
'-x,y,z'
'x,-y,z'
'x+1/2,y+1/2,z+1/2'
'-x+1/2,-y+1/2,z+1/2'
'-x+1/2,y+1/2,z+1/2'
'x+1/2,-y+1/2,z+1/2'
loop_
_atom_site_label
_atom_site_type_symbol
_atom_site_fract_x
_atom_site_fract_y
_atom_site_fract_z
Ac1 Ac 0.000 0.000 0.000
Zn1 Zn 0.000 0.000 0.371
Zn2 Zn 0.000 0.500 0.253
Ga1 Ga 0.000 0.500 0.751
Ge1 Ge 0.000 0.000 0.612
```


Record 4
A relaxed structure of Ti2AlPt, computed with PBE-GGA.

Results
- calculated total energy (eV per formula unit) = -26.508
- DOS(E_F) (states/eV/atom) = 1.234
- mass density (Mg/m³) = 7.52
- total moment (μB per atom) = 0.000

```
data_Ti2AlPt
_chemical_formula_sum 'Ti8 Al4 Pt4'
_cell_length_a 7.356
_cell_length_b 7.356
_cell_length_c 5.191
_cell_angle_alpha 90.00
_cell_angle_beta 90.00
_cell_angle_gamma 90.00
_space_group_name_H-M_alt 'I -4 2 d'
_space_group_IT_number 122
_space_group_name_Hall 'I -4 2bw'
loop_
_atom_site_label
_atom_site_type_symbol
_atom_site_fract_x
_atom_site_fract_y
_atom_site_fract_z
Ti1 Ti 0.220 0.250 0.125
Al1 Al 0.000 0.000 0.500
Pt1 Pt 0.000 0.000 0.000
```


Record 5
A relaxed structure of Zr3AsN, computed with PBE-GGA.

Results
- calculated total energy (eV per formula unit) = -45.085
- polymorph energy (0 for the lowest one) (meV per atom) = 0.0
- DOS(E_F) (states/eV/atom) = 0.258
- mass density (Mg/m³) = 7.11
- total moment (μB per atom) = 0.000
- E_form (uncorrected) (eV/atom) = -1.293

```
data_Zr3AsN
_chemical_formula_sum 'Zr12 As4 N4'
_cell_length_a 3.512
_cell_length_b 11.229
_cell_length_c 8.592
_cell_angle_alpha 90.00
_cell_angle_beta 90.00
_cell_angle_gamma 90.00
_space_group_name_H-M_alt 'C m c m'
_space_group_IT_number 63
_space_group_name_Hall '-C 2c 2'
loop_
_atom_site_label
_atom_site_type_symbol
_atom_site_fract_x
_atom_site_fract_y
_atom_site_fract_z
Zr1 Zr 0.000 0.059 0.250
Zr2 Zr 0.000 0.369 0.055
As1 As 0.000 0.254 0.750
N1 N 0.000 0.000 0.000
```


Record 6
A relaxed structure of LiTh5Se8, computed with PBE-GGA.

Results
- calculated total energy (eV per formula unit) = -89.147
- DOS(E_F) (states/eV/atom) = 0.735
- mass density (Mg/m³) = 8.63
- total moment (μB per atom) = 0.000
- E_form (uncorrected) (eV/atom) = -1.590

```
data_LiTh5Se8
_chemical_formula_sum 'Li2 Th10 Se16'
_cell_length_a 8.733
_cell_length_b 8.733
_cell_length_c 9.082
_cell_angle_alpha 90.00
_cell_angle_beta 90.00
_cell_angle_gamma 90.00
_space_group_name_H-M_alt 'I -4'
_space_group_IT_number 82
loop_
_space_group_symop_operation_xyz
'x,y,z'
'y,-x,-z'
'-x,-y,z'
'-y,x,-z'
'x+1/2,y+1/2,z+1/2'
'y+1/2,-x+1/2,-z+1/2'
'-x+1/2,-y+1/2,z+1/2'
'-y+1/2,x+1/2,-z+1/2'
loop_
_atom_site_label
_atom_site_type_symbol
_atom_site_fract_x
_atom_site_fract_y
_atom_site_fract_z
Li1 Li 0.000 0.000 0.000
Th1 Th 0.000 0.500 0.250
Th2 Th 0.116 0.746 0.635
Se1 Se 0.072 0.687 0.963
Se2 Se 0.082 0.822 0.312
```


Record 7
A relaxed structure of BaLi2CdGa, computed with PBE-GGA.

Results
- calculated total energy (eV per formula unit) = -10.435
- polymorph energy (0 for the lowest one) (meV per atom) = 0.0
- DOS(E_F) (states/eV/atom) = 0.611
- mass density (Mg/m³) = 3.90
- total moment (μB per atom) = 0.000

```
data_BaLi2CdGa
_chemical_formula_sum 'Ba1 Li2 Cd1 Ga1'
_cell_length_a 5.178
_cell_length_b 5.178
_cell_length_c 5.292
_cell_angle_alpha 90.00
_cell_angle_beta 90.00
_cell_angle_gamma 90.00
_space_group_name_H-M_alt 'P 4/m m m'
_space_group_IT_number 123
_space_group_name_Hall '-P 4 2'
loop_
_atom_site_label
_atom_site_type_symbol
_atom_site_fract_x
_atom_site_fract_y
_atom_site_fract_z
Ba1 Ba 0.000 0.000 0.000
Li1 Li 0.000 0.500 0.500
Cd1 Cd 0.500 0.500 0.000
Ga1 Ga 0.500 0.500 0.500
```


Record 8
A relaxed structure of Ac4TbY3Se8, computed with PBE-GGA.

Results
- calculated total energy (eV per formula unit) = -97.265
- DOS(E_F) (states/eV/atom) = 0.513
- mass density (Mg/m³) = 7.38
- total moment (μB per atom) = 0.000
- E_form (uncorrected) (eV/atom) = -1.808

```
data_Ac4TbY3Se8
_chemical_formula_sum 'Ac12 Tb3 Y9 Se24'
_cell_length_a 8.3500
_cell_length_b 8.3500
_cell_length_c 21.9773
_cell_angle_alpha 90.00
_cell_angle_beta 90.00
_cell_angle_gamma 120.00
_space_group_name_H-M_alt 'R -3 m'
_space_group_IT_number 166
_space_group_name_Hall '-R 3 2"'
loop_
_atom_site_label
_atom_site_type_symbol
_atom_site_fract_x
_atom_site_fract_y
_atom_site_fract_z
Ac1 Ac 0.0000 0.0000 0.0000
Ac2 Ac 0.0000 0.5000 0.0000
Tb1 Tb 0.0000 0.0000 0.5000
Y1 Y 0.0000 0.5000 0.5000
Se1 Se 0.0000 0.0000 0.2400
Se2 Se 0.9996 0.4998 0.2401
```


Record 9
A relaxed structure of K3TaCl2F6, computed with PBE-GGA.

Results
- calculated total energy (eV per formula unit) = -63.653
- DOS(E_F) (states/eV/atom) = 0.000
- mass density (Mg/m³) = 3.15
- total moment (μB per atom) = 0.014
- E_form (uncorrected) (eV/atom) = -2.799

```
data_K3TaCl2F6
_chemical_formula_sum 'K6 Ta2 Cl4 F12'
_cell_length_a 14.130
_cell_length_b 8.017
_cell_length_c 4.501
_cell_angle_alpha 90.00
_cell_angle_beta 91.35
_cell_angle_gamma 90.00
_space_group_name_H-M_alt 'C 1 2/m 1'
_space_group_IT_number 12
loop_
_space_group_symop_operation_xyz
'x,y,z'
'-x,-y,-z'
'-x,y,-z'
'x,-y,z'
'x+1/2,y+1/2,z'
'-x+1/2,-y+1/2,-z'
'-x+1/2,y+1/2,-z'
'x+1/2,-y+1/2,z'
loop_
_atom_site_label
_atom_site_type_symbol
_atom_site_fract_x
_atom_site_fract_y
_atom_site_fract_z
K1 K 0.000 0.000 0.000
K2 K 0.250 0.250 0.000
Ta1 Ta 0.000 0.500 0.500
Cl1 Cl 0.167 0.000 0.462
F1 F 0.057 0.328 0.746
F2 F 0.112 0.500 0.265
```


Record 10
A relaxed structure of TlFeAs2, computed with PBE-GGA.

Results
- calculated total energy (eV per formula unit) = -19.824
- polymorph energy (0 for the lowest one) (meV per atom) = 40.3
- DOS(E_F) (states/eV/atom) = 0.655
- mass density (Mg/m³) = 8.30
- total moment (μB per atom) = 0.346

```
data_TlFeAs2
_chemical_formula_sum 'Tl2 Fe2 As4'
_cell_length_a 3.027
_cell_length_b 3.140
_cell_length_c 17.253
_cell_angle_alpha 90.00
_cell_angle_beta 90.00
_cell_angle_gamma 90.00
_space_group_name_H-M_alt 'I m m 2'
_space_group_IT_number 44
loop_
_space_group_symop_operation_xyz
'x,y,z'
'-x,-y,z'
'-x,y,z'
'x,-y,z'
'x+1/2,y+1/2,z+1/2'
'-x+1/2,-y+1/2,z+1/2'
'-x+1/2,y+1/2,z+1/2'
'x+1/2,-y+1/2,z+1/2'
loop_
_atom_site_label
_atom_site_type_symbol
_atom_site_fract_x
_atom_site_fract_y
_atom_site_fract_z
Tl1 Tl 0.000 0.000 0.000
Fe1 Fe 0.000 0.500 0.265
As1 As 0.000 0.000 0.658
As2 As 0.000 0.500 0.831
```